(1)
Computed, not measured: crystalline Si2SeBr at its relaxed geometry at the PBE-GGA level of DFT.

Properties
Density: 3.44 Mg/m³
Formation energy from raw total energies: 0.18 eV per atom
Raw total energy: -30.6 eV for the cell shown

a b c (Å): 3.501 6.667 8.895
angles (deg): 90.00 90.00 90.00
Space group Cmm2 (No. 35)
Unique sites:
Si (0.000, 0.000, 0.000)
Si (0.000, 0.500, 0.195)
Se (0.000, 0.500, 0.822)
Br (0.000, 0.000, 0.405)


(2)
Computed, not measured: crystalline AlPOs2Rh at its relaxed geometry at the PBE-GGA level of DFT.

Properties
Density: 10.96 Mg/m³
Raw total energy: -34.9 eV for the cell shown

a b c (Å): 4.289 4.289 4.457
angles (deg): 90.00 90.00 90.00
Space group P4/mmm (No. 123)
Unique sites:
Al (0.000, 0.000, 0.000)
P (0.000, 0.000, 0.500)
Os (0.000, 0.500, 0.500)
Rh (0.500, 0.500, 0.000)


(3)
Computed, not measured: crystalline BeCu2Mo at its relaxed geometry at the PBE-GGA level of DFT.

Properties
Density: 7.60 Mg/m³
Raw total energy: -43.1 eV for the cell shown

a b c (Å): 5.069 8.015 2.495
angles (deg): 90.00 90.00 90.00
Space group Cmmm (No. 65)
Unique sites:
Be (0.000, 0.000, 0.000)
Cu (0.250, 0.250, 0.500)
Mo (0.000, 0.500, 0.000)


(4)
Computed, not measured: crystalline BaBeBi3 at its relaxed geometry at the PBE-GGA level of DFT.

Properties
Density: 4.86 Mg/m³
Raw total energy: -10.4 eV for the cell shown

a b c (Å): 6.418 6.418 6.418
angles (deg): 90.00 90.00 90.00
Space group Pm-3m (No. 221)
Unique sites:
Ba (0.000, 0.000, 0.000)
Be (0.500, 0.500, 0.500)
Bi (0.000, 0.000, 0.500)


(5)
Computed, not measured: crystalline PuRe at its relaxed geometry at the PBE-GGA level of DFT.

Properties
Density: 21.73 Mg/m³
Raw total energy: -53.0 eV for the cell shown

a b c (Å): 2.727 4.345 5.616
angles (deg): 90.00 98.87 90.00
Space group P2_1/m (No. 11)
Unique sites:
Pu (0.089, 0.250, 0.413)
Re (0.347, 0.750, 0.087)


(6)
Computed, not measured: crystalline PrSc3Ag4 at its relaxed geometry at the PBE-GGA level of DFT.

Properties
Density: 6.67 Mg/m³
Raw total energy: -37.0 eV for the cell shown

a b c (Å): 4.962 4.962 7.150
angles (deg): 90.00 90.00 90.00
Space group P4/mmm (No. 123)
Unique sites:
Pr (0.000, 0.000, 0.000)
Sc (0.000, 0.000, 0.500)
Sc (0.500, 0.500, 0.000)
Sc (0.500, 0.500, 0.500)
Ag (0.000, 0.500, 0.276)


(7)
Computed, not measured: crystalline VGa2Os2 at its relaxed geometry at the PBE-GGA level of DFT.

Properties
Density: 12.59 Mg/m³
Raw total energy: -73.3 eV for the cell shown

a b c (Å): 6.939 6.939 3.127
angles (deg): 90.00 90.00 90.00
Space group P4/mbm (No. 127)
Unique sites:
V (0.000, 0.000, 0.000)
Ga (0.160, 0.340, 0.500)
Os (0.141, 0.641, 0.000)


(8)
Computed, not measured: crystalline CdMoPb2 at its relaxed geometry at the PBE-GGA level of DFT.

Properties
Density: 10.08 Mg/m³
Raw total energy: -34.4 eV for the cell shown

a b c (Å): 3.710 4.995 11.071
angles (deg): 90.00 90.00 90.00
Space group Cmmm (No. 65)
Unique sites:
Cd (0.000, 0.000, 0.000)
Mo (0.000, 0.000, 0.500)
Pb (0.000, 0.500, 0.293)


(9)
Computed, not measured: crystalline Tm3Tl2Zn4 at its relaxed geometry at the PBE-GGA level of DFT.

Properties
Density: 10.05 Mg/m³
Raw total energy: -51.9 eV for the cell shown

a b c (Å): 10.604 4.621 8.770
angles (deg): 90.00 115.16 90.00
Space group C2/m (No. 12)
Unique sites:
Tm (0.000, 0.000, 0.000)
Tm (0.164, 0.500, 0.674)
Tl (0.113, 0.500, 0.276)
Zn (0.066, 0.000, 0.412)
Zn (0.220, 0.500, 0.038)


(10)
Computed, not measured: crystalline MgGe2Cl6 at its relaxed geometry at the PBE-GGA level of DFT.

Properties
Density: 2.56 Mg/m³
Formation energy from raw total energies: -1.09 eV per atom
Raw total energy: -127.0 eV for the cell shown

a b c (Å): 14.652 11.374 6.568
angles (deg): 90.00 115.23 90.00
Space group C2/c (No. 15)
Unique sites:
Mg (0.000, 0.077, 0.250)
Ge (0.217, 0.412, 0.459)
Cl (0.107, 0.070, 0.039)
Cl (0.119, 0.247, 0.509)
Cl (0.120, 0.425, 0.057)


(11)
Computed, not measured: crystalline LaSb3 at its relaxed geometry at the PBE-GGA level of DFT.

Properties
Density: 7.24 Mg/m³
Formation energy from raw total energies: -0.48 eV per atom
Raw total energy: -38.4 eV for the cell shown

a b c (Å): 6.138 6.138 6.138
angles (deg): 90.00 90.00 90.00
Space group Pm-3n (No. 223)
Unique sites:
La (0.000, 0.000, 0.000)
Sb (0.000, 0.250, 0.500)


(12)
Computed, not measured: crystalline LaU2MnC4 at its relaxed geometry at the PBE-GGA level of DFT.

Properties
Density: 9.94 Mg/m³
Raw total energy: -297.4 eV for the cell shown

a b c (Å): 3.566 11.501 11.699
angles (deg): 90.00 90.00 90.00
Space group Cmcm (No. 63)
Unique sites:
La (0.000, 0.103, 0.250)
U (0.000, 0.369, 0.049)
Mn (0.000, 0.160, 0.750)
C (0.000, 0.000, 0.000)
C (0.000, 0.253, 0.619)
C (0.000, 0.412, 0.250)


(13)
Computed, not measured: crystalline NaCd3Sb3 at its relaxed geometry at the PBE-GGA level of DFT.

Properties
Density: 5.70 Mg/m³
Formation energy from raw total energies: -0.04 eV per atom
Raw total energy: -100.4 eV for the cell shown

a b c (Å): 7.9410 7.9410 23.2397
angles (deg): 90.00 90.00 120.00
Space group R-3 (No. 148, hexagonal axes)
Unique sites:
Na (0.0000, 0.0000, 0.1673)
Cd (0.0044, 0.6543, 0.3722)
Sb (0.0024, 0.6849, 0.5761)


(14)
Computed, not measured: crystalline Pr3MgCd3 at its relaxed geometry at the PBE-GGA level of DFT.

Properties
Density: 6.21 Mg/m³
Raw total energy: -78.9 eV for the cell shown

a b c (Å): 10.531 10.447 7.632
angles (deg): 90.00 91.27 90.00
Space group C2/m (No. 12)
Unique sites:
Pr (0.066, 0.000, 0.253)
Pr (0.247, 0.199, 0.752)
Mg (0.134, 0.500, 0.919)
Cd (0.000, 0.254, 0.000)
Cd (0.000, 0.259, 0.500)
Cd (0.152, 0.500, 0.548)


(15)
Computed, not measured: crystalline CsTl2Cd2 at its relaxed geometry at the PBE-GGA level of DFT.

Properties
Density: 7.61 Mg/m³
Raw total energy: -14.8 eV for the cell shown

a b c (Å): 9.793 9.793 3.488
angles (deg): 90.00 90.00 90.00
Space group P4/mbm (No. 127)
Unique sites:
Cs (0.000, 0.000, 0.000)
Tl (0.136, 0.364, 0.000)
Cd (0.151, 0.651, 0.500)


(16)
Computed, not measured: crystalline Zr2Co2Ag at its relaxed geometry at the PBE-GGA level of DFT.

Properties
Density: 8.18 Mg/m³
Raw total energy: -70.6 eV for the cell shown

a b c (Å): 7.144 7.144 3.248
angles (deg): 90.00 90.00 90.00
Space group P4/mbm (No. 127)
Unique sites:
Zr (0.164, 0.336, 0.000)
Co (0.132, 0.632, 0.500)
Ag (0.000, 0.000, 0.500)


(17)
Computed, not measured: crystalline CsNa2SnPd at its relaxed geometry at the PBE-GGA level of DFT.

Properties
Density: 3.89 Mg/m³
Raw total energy: -13.6 eV for the cell shown

a b c (Å): 5.783 5.783 5.156
angles (deg): 90.00 90.00 90.00
Space group P4/mmm (No. 123)
Unique sites:
Cs (0.000, 0.000, 0.000)
Na (0.000, 0.500, 0.500)
Sn (0.500, 0.500, 0.000)
Pd (0.500, 0.500, 0.500)


(18)
Computed, not measured: crystalline V2RuW6 at its relaxed geometry at the PBE-GGA level of DFT.

Properties
Density: 14.65 Mg/m³
Raw total energy: -202.5 eV for the cell shown

a b c (Å): 12.357 4.515 5.392
angles (deg): 90.00 100.27 90.00
Space group C2/m (No. 12)
Unique sites:
V (0.098, 0.000, 0.477)
Ru (0.000, 0.000, 0.000)
W (0.004, 0.500, 0.744)
W (0.199, 0.500, 0.136)
W (0.208, 0.500, 0.649)


(19)
Computed, not measured: crystalline MgCoNi2 at its relaxed geometry at the PBE-GGA level of DFT.

Properties
Density: 6.80 Mg/m³
Raw total energy: -40.3 eV for the cell shown

a b c (Å): 3.729 3.729 7.047
angles (deg): 90.00 90.00 90.00
Space group I4/mmm (No. 139)
Unique sites:
Mg (0.000, 0.000, 0.000)
Co (0.000, 0.000, 0.500)
Ni (0.000, 0.500, 0.250)


(20)
Computed, not measured: crystalline AcHfNO2 at its relaxed geometry at the PBE-GGA level of DFT.

Properties
Density: 9.60 Mg/m³
Formation energy from raw total energies: -2.76 eV per atom
Raw total energy: -46.1 eV for the cell shown

a b c (Å): 3.993 3.993 4.896
angles (deg): 90.00 90.00 90.00
Space group P4mm (No. 99)
Unique sites:
Ac (0.000, 0.000, 0.000)
Hf (0.500, 0.500, 0.464)
N (0.500, 0.500, 0.871)
O (0.000, 0.500, 0.353)


(21)
Computed, not measured: crystalline Mo3Ru at its relaxed geometry at the PBE-GGA level of DFT.

Properties
Density: 10.45 Mg/m³
Raw total energy: -164.5 eV for the cell shown

a b c (Å): 6.277 6.277 6.277
angles (deg): 90.00 90.00 90.00
Space group Fm-3m (No. 225)
Unique sites:
Mo (0.000, 0.000, 0.000)
Mo (0.250, 0.250, 0.250)
Ru (0.000, 0.000, 0.500)


(22)
Computed, not measured: crystalline La3Tb2Dy6Er at its relaxed geometry at the PBE-GGA level of DFT.

Properties
Density: 7.92 Mg/m³
Raw total energy: -111.9 eV for the cell shown

a b c (Å): 6.230 10.794 11.880
angles (deg): 90.00 100.07 90.00
Space group C2/m (No. 12)
Unique sites:
La (0.000, 0.000, 0.000)
La (0.000, 0.333, 0.000)
Tb (0.000, 0.167, 0.500)
Dy (0.248, 0.000, 0.744)
Dy (0.248, 0.333, 0.744)
Er (0.000, 0.500, 0.500)


(23)
Computed, not measured: crystalline PrDy2Ho2 at its relaxed geometry at the PBE-GGA level of DFT.

Properties
Density: 8.04 Mg/m³
Raw total energy: -45.4 eV for the cell shown

a b c (Å): 9.410 9.410 3.712
angles (deg): 90.00 90.00 90.00
Space group P4/mbm (No. 127)
Unique sites:
Pr (0.000, 0.000, 0.000)
Dy (0.125, 0.375, 0.000)
Ho (0.172, 0.672, 0.500)


(24)
Computed, not measured: crystalline ThHAu at its relaxed geometry at the PBE-GGA level of DFT.

Properties
Density: 12.14 Mg/m³
Raw total energy: -15.5 eV for the cell shown

a b c (Å): 4.0105 4.0105 4.2243
angles (deg): 90.00 90.00 120.00
Space group P-6m2 (No. 187)
Unique sites:
Th (0.0000, 0.0000, 0.0000)
H (0.6667, 0.3333, 0.0000)
Au (0.3333, 0.6667, 0.5000)


Computed total moment, in the same sequence as the records: 0.000 0.000 0.000 0.000 0.000 0.001 0.000 0.000 0.000 0.000 0.000 0.030 0.000 0.000 0.000 0.000 0.000 0.000 0.598 0.000 0.000 0.000 0.000 0.000 μB per atom.